[1]
First-principles (GGA-PBE) data for crystalline Cu2AgBiF8 at its relaxed geometry, as listed in the Alexandria database.

Cell: 5.6310 5.6310 6.6733 Å, 114.95 114.95 90.00°
Closest atoms and distances in Å follow each position.
Sites, in units of the cell vectors:
F  0.7293  0.2845  0.8926  1 Cu 1.92
F  0.1633  0.6081  0.8926  1 Cu 1.92
F  0.0574  0.3932  0.3753  1 Cu 1.93
F  0.7155  0.8367  0.1074  1 Cu 1.92
Cu  0.2500  0.7500  0.5000  4 F 1.93
F  0.6068  0.6821  0.6247  1 Cu 1.93
Ag  0.7500  0.2500  0.5000  8 F 2.47-2.60
F  0.3179  0.9821  0.3753  1 Cu 1.93
Bi  0.0000  0.0000  0.0000  8 F 2.33-2.43
F  0.3919  0.2707  0.1074  1 Cu 1.92
F  0.0179  0.9426  0.6247  1 Cu 1.93
Cu  0.5000  0.5000  0.0000  4 F 1.92

Raw formation energy ... -1.701 eV per atom
Crystal system ... tetragonal
Symmetry ... No. 82



[2]
First-principles (GGA-PBE) data for crystalline GaCuAgBi2 at its relaxed geometry, as listed in the Alexandria database.

Cell: 5.2498 4.9432 5.2498 Å, 90.00 90.00 90.00°
Closest atoms and distances in Å follow each position.
Sites, in units of the cell vectors:
Bi  0.0000  0.0000  0.5000  2 Cu 2.62
Ga  0.5000  0.5000  0.5000  8 Bi 3.61, 4 Ag 3.71
Ag  0.0000  0.5000  0.0000  2 Cu 2.47
Bi  0.5000  0.0000  0.0000  2 Cu 2.62
Cu  0.0000  0.0000  0.0000  2 Ag 2.47, 4 Bi 2.62

Crystal system ... tetragonal
DFT formation energy ... 0.40 eV/atom
Symmetry ... No. 123



[3]
First-principles (GGA-PBE) data for crystalline CuAgBi2H at its relaxed geometry, as listed in the Alexandria database.

Cell: 5.5343 5.5343 3.2767 Å, 90.00 90.00 90.00°
Closest atoms and distances in Å follow each position.
Sites, in units of the cell vectors:
Bi  0.0000  0.5000  0.0000  2 Cu 2.77
H  0.0000  0.0000  0.5000  2 Cu 1.64
Cu  0.0000  0.0000  0.0000  2 H 1.64
Ag  0.5000  0.5000  0.5000  8 Bi 3.22, 2 Ag 3.28
Bi  0.5000  0.0000  0.0000  2 Cu 2.77

Crystal system ... tetragonal
Symmetry ... No. 123



[4]
First-principles (GGA-PBE) data for crystalline HfCuAg2Bi at its relaxed geometry, as listed in the Alexandria database.

Cell: 5.2185 5.5776 5.2185 Å, 90.00 90.00 90.00°
Closest atoms and distances in Å follow each position.
Sites, in units of the cell vectors:
Cu  0.5000  0.5000  0.5000  4 Hf 3.69, 8 Ag 3.82
Ag  0.0000  0.0000  0.5000  2 Bi 2.61
Ag  0.5000  0.0000  0.0000  2 Bi 2.61
Bi  0.0000  0.0000  0.0000  4 Ag 2.61, 2 Hf 2.79
Hf  0.0000  0.5000  0.0000  2 Bi 2.79

Crystal system ... tetragonal
DFT formation energy ... 1.18 eV/atom
Symmetry ... No. 123



What did we get for total DFT energy (no corrections)? Answer: -4.192, -3.148, -3.402, -3.547 eV per atom, in the order shown.
What did we get for spin magnetization? Answer: 2.04, 0.00, 0.00, 0.60 μB/f.u., in the order shown.
What did we get for Fermi-level density of states? Answer: 2.08, 2.19, 2.35, 2.94 states/eV per cell, in the order shown.